No. 1
A plane-wave DFT calculation with PBE was carried out for an optimized crystal structure of CaFeRh2.

a b c (Å): 4.5408 4.5408 8.9137
angles (deg): 75.24 75.24 90.00
With the nearest neighbours (Å) after each atom.
Fractional coordinates of all 8 atoms:
Ca  0.5000  0.5000  0.0000  4 Rh 2.95, 4 Fe 3.21
Ca  0.2500  0.7500  0.5000  4 Rh 2.95, 4 Fe 3.21
Rh  0.7639  0.1250  0.2500  2 Fe 2.42, 2 Rh 2.48
Rh  0.9861  0.6250  0.2500  2 Fe 2.42, 2 Rh 2.48
Rh  0.3750  0.2361  0.7500  2 Fe 2.42, 2 Rh 2.48
Rh  0.8750  0.0139  0.7500  2 Fe 2.42, 2 Rh 2.48
Fe  0.0000  0.0000  0.0000  4 Rh 2.42
Fe  0.7500  0.2500  0.5000  4 Rh 2.42

Computed properties:
* energy relative to the lowest polymorph listed for this composition: 11.84 kcal/mol of atoms
* crystal system: tetragonal
* energy relative to the elements: 0.382 eV per atom

---

No. 2
A plane-wave DFT calculation with PBE was carried out for an optimized crystal structure of CaFeRh2.

a b c (Å): 9.2219 9.2219 9.2219
angles (deg): 17.97 17.97 17.97
With the nearest neighbours (Å) after each atom.
Fractional coordinates of all 4 atoms:
Ca  0.5013  0.5013  0.5013  6 Ca 2.88, 3 Rh 2.89, 3 Fe 3.05
Rh  0.0030  0.0030  0.0030  3 Fe 2.55, 3 Rh 2.77
Rh  0.2549  0.2549  0.2549  9 Rh 2.77-2.88, 3 Ca 2.89
Fe  0.7408  0.7408  0.7408  3 Rh 2.55

Computed properties:
* energy relative to the lowest polymorph listed for this composition: 12.67 kcal/mol of atoms
* crystal system: trigonal
* energy relative to the elements: 0.418 eV per atom

---

Which value of energy relative to the elements does entry 1 give?
0.382 eV per atom

---

The lowest energy relative to the elements belongs to which entry?
number 1

---

Look up the energy relative to the lowest polymorph listed for this composition of the second one.
12.67 kcal/mol of atoms

---

Which formula does entry 2 have?
CaFeRh2